No. 1
CaTl (PBE, optimized geometry); E_form = -0.335 eV per atom; E_tot = -2.52 eV per atom
1.0
6.007 -1.916 0.000
6.007 1.916 0.000
-1.746 0.000 5.312
Ca Tl
2 2
direct
0.109 0.109 0.322 Ca
0.891 0.891 0.678 Ca
0.359 0.359 0.162 Tl
0.641 0.641 0.838 Tl

***

No. 2
CaTl (PBE, optimized geometry); E_form = -0.139 eV per atom; E_tot = -2.32 eV per atom
1.0
3.853 0.000 0.000
-1.927 3.337 0.000
0.000 0.000 10.534
Ca Tl
2 2
direct
0.333 0.667 0.153 Ca
0.667 0.333 0.847 Ca
0.333 0.667 0.611 Tl
0.667 0.333 0.389 Tl